# 1
# PrSm4Ho5 PBE optimized geometry
data_PrSm4Ho5
_chemical_formula_sum 'Pr2 Sm8 Ho10'
_cell_length_a 10.310
_cell_length_b 10.310
_cell_length_c 6.272
_cell_angle_alpha 90.00
_cell_angle_beta 90.00
_cell_angle_gamma 90.00
_space_group_name_H-M_alt 'I 4'
_space_group_IT_number 79
loop_
_space_group_symop_operation_xyz
'x,y,z'
'-y,x,z'
'-x,-y,z'
'y,-x,z'
'x+1/2,y+1/2,z+1/2'
'-y+1/2,x+1/2,z+1/2'
'-x+1/2,-y+1/2,z+1/2'
'y+1/2,-x+1/2,z+1/2'
loop_
_atom_site_label
_atom_site_type_symbol
_atom_site_fract_x
_atom_site_fract_y
_atom_site_fract_z
Pr1 Pr 0.000 0.000 0.000
Sm1 Sm 0.047 0.349 0.767
Ho1 Ho 0.000 0.000 0.539
Ho2 Ho 0.150 0.230 0.272
# DFT formation energy in eV per formula unit: 2.89
# Total DFT energy (no corrections) in eV/atom: -4.366

---

# 2
# Pr5Sm3Ho2 PBE optimized geometry
data_Pr5Sm3Ho2
_chemical_formula_sum 'Pr20 Sm12 Ho8'
_cell_length_a 10.886
_cell_length_b 14.956
_cell_length_c 10.168
_cell_angle_alpha 90.00
_cell_angle_beta 122.35
_cell_angle_gamma 90.00
_space_group_name_H-M_alt 'C 1 2/c 1'
_space_group_IT_number 15
loop_
_space_group_symop_operation_xyz
'x,y,z'
'-x,-y,-z'
'-x,y,-z+1/2'
'x,-y,z+1/2'
'x+1/2,y+1/2,z'
'-x+1/2,-y+1/2,-z'
'-x+1/2,y+1/2,-z+1/2'
'x+1/2,-y+1/2,z+1/2'
loop_
_atom_site_label
_atom_site_type_symbol
_atom_site_fract_x
_atom_site_fract_y
_atom_site_fract_z
Pr1 Pr 0.000 0.022 0.250
Pr2 Pr 0.000 0.231 0.250
Pr3 Pr 0.000 0.273 0.750
Pr4 Pr 0.246 0.377 0.245
Sm1 Sm 0.000 0.480 0.750
Sm2 Sm 0.153 0.125 0.057
Ho1 Ho 0.155 0.377 0.558
# DFT formation energy in eV per formula unit: 1.69
# Total DFT energy (no corrections) in eV/atom: -4.552

---

# 3
# Pr4Sm7Ho PBE optimized geometry
data_Pr4Sm7Ho
_chemical_formula_sum 'Pr4 Sm7 Ho1'
_cell_length_a 6.623
_cell_length_b 6.979
_cell_length_c 9.274
_cell_angle_alpha 86.20
_cell_angle_beta 77.28
_cell_angle_gamma 82.99
_space_group_name_H-M_alt 'P -1'
_space_group_IT_number 2
loop_
_space_group_symop_operation_xyz
'x,y,z'
'-x,-y,-z'
loop_
_atom_site_label
_atom_site_type_symbol
_atom_site_fract_x
_atom_site_fract_y
_atom_site_fract_z
Pr1 Pr 0.144 0.305 0.281
Pr2 Pr 0.339 0.892 0.690
Sm1 Sm 0.011 0.252 0.949
Sm2 Sm 0.186 0.801 0.358
Sm3 Sm 0.308 0.400 0.617
Sm4 Sm 0.500 0.000 0.000
Ho1 Ho 0.500 0.500 0.000
# DFT formation energy in eV per formula unit: 1.01
# Total DFT energy (no corrections) in eV/atom: -4.643

---

# 4
# PrSmHo14 PBE optimized geometry
data_PrSmHo14
_chemical_formula_sum 'Pr2 Sm2 Ho28'
_cell_length_a 11.450
_cell_length_b 7.121
_cell_length_c 12.316
_cell_angle_alpha 90.00
_cell_angle_beta 90.00
_cell_angle_gamma 90.00
_space_group_name_H-M_alt 'A m m 2'
_space_group_IT_number 38
loop_
_space_group_symop_operation_xyz
'x,y,z'
'-x,-y,z'
'-x,y,z'
'x,-y,z'
'x,y+1/2,z+1/2'
'-x,-y+1/2,z+1/2'
'-x,y+1/2,z+1/2'
'x,-y+1/2,z+1/2'
loop_
_atom_site_label
_atom_site_type_symbol
_atom_site_fract_x
_atom_site_fract_y
_atom_site_fract_z
Pr1 Pr 0.000 0.000 0.000
Sm1 Sm 0.000 0.000 0.500
Ho1 Ho 0.000 0.250 0.250
Ho2 Ho 0.251 0.000 0.667
Ho3 Ho 0.252 0.000 0.167
Ho4 Ho 0.253 0.250 0.417
Ho5 Ho 0.500 0.000 0.333
Ho6 Ho 0.500 0.000 0.833
Ho7 Ho 0.500 0.250 0.084
# DFT formation energy in eV per formula unit: 0.13
# Total DFT energy (no corrections) in eV/atom: -4.591